1.
NdSm4Ag after structural relaxation, computed with PBE.

## Properties
- ΔH_f (0 K): 48 meV/atom
- N(E_F): 1.437 states/eV/atom

Cell: 5.5771 6.5596 10.9259 Å, 90.00 104.79 90.00°
Atoms (fractional coordinates):
Ag 0.3951 0.4682 0.7901
Ag 0.6049 0.9682 0.2099
Sm 0.4659 0.8766 0.9319
Sm 0.5341 0.3766 0.0681
Sm 0.9350 0.2101 0.8701
Sm 0.3227 0.0714 0.6453
Sm 0.0650 0.7101 0.1299
Sm 0.2537 0.5959 0.5074
Sm 0.7463 0.0959 0.4926
Sm 0.6773 0.5714 0.3547
Nd 0.8670 0.7112 0.7340
Nd 0.1330 0.2112 0.2660


2.
Nd2SmAg2Sn2 after structural relaxation, computed with PBE.

## Properties
- ΔH_f (0 K): -422 meV/atom
- N(E_F): 0.544 states/eV/atom

Cell: 4.8452 4.8452 9.7636 Å, 75.63 75.63 60.00°
Atoms (fractional coordinates):
Ag 0.3977 0.3977 0.8069
Ag 0.6023 0.6023 0.1931
Sn 0.2633 0.2633 0.2101
Sn 0.7367 0.7367 0.7899
Nd 0.8719 0.8719 0.3843
Nd 0.1281 0.1281 0.6157
Sm 0.0000 0.0000 0.0000


3.
TbNdSmAg after structural relaxation, computed with PBE.

## Properties
- ΔH_f (0 K): -123 meV/atom
- N(E_F): 1.455 states/eV/atom

Cell: 3.6687 3.6687 8.8236 Å, 90.00 90.00 90.00°
Atoms (fractional coordinates):
Sm 0.5000 0.5000 0.7823
Ag 0.0000 0.0000 0.5639
Tb 0.5000 0.5000 0.3634
Nd 0.0000 0.0000 0.0750


4.
TbNdSmAg after structural relaxation, computed with PBE.

## Properties
- ΔH_f (0 K): 71 meV/atom
- N(E_F): 1.184 states/eV/atom

Cell: 5.4784 5.4784 5.4784 Å, 60.00 60.00 60.00°
Atoms (fractional coordinates):
Sm 0.0000 0.0000 0.0000
Nd 0.5000 0.5000 0.5000
Tb 0.7500 0.7500 0.7500
Ag 0.2500 0.2500 0.2500


5.
Nd2SmAgTe5 after structural relaxation, computed with PBE.

## Properties
- Energy relative to the elements, uncorrected: -114.4 kJ/mol of atoms
- N(E_F): 0.014 states/eV/atom

Cell: 4.4141 9.7694 13.3758 Å, 90.00 90.00 103.06°
Atoms (fractional coordinates):
Te 0.7131 0.4263 0.1713
Te 0.3082 0.6163 0.3382
Te 0.5013 0.0026 0.2787
Te 0.6918 0.3837 0.8382
Te 0.2869 0.5737 0.6713
Te 0.4987 0.9974 0.7787
Te 0.6409 0.2819 0.4989
Te 0.0416 0.0832 0.0772
Te 0.9584 0.9168 0.5772
Te 0.3591 0.7181 0.9989
Sm 0.1928 0.3855 0.0083
Sm 0.8072 0.6145 0.5083
Nd 0.1249 0.2498 0.3051
Nd 0.8751 0.7502 0.8051
Nd 0.8890 0.7779 0.1858
Nd 0.1110 0.2221 0.6858
Ag 0.5673 0.1347 0.9604
Ag 0.4327 0.8653 0.4604


6.
Nd2SmTl2Ag2 after structural relaxation, computed with PBE.

## Properties
- ΔH_f (0 K): -202 meV/atom
- N(E_F): 0.786 states/eV/atom

Cell: 4.9464 4.9464 9.6058 Å, 75.08 75.08 60.00°
Atoms (fractional coordinates):
Nd 0.1247 0.1247 0.6258
Nd 0.8753 0.8753 0.3742
Sm 0.0000 0.0000 0.0000
Tl 0.2621 0.2621 0.2136
Tl 0.7379 0.7379 0.7864
Ag 0.6060 0.6060 0.1819
Ag 0.3940 0.3940 0.8181


7.
NdSmTlAg after structural relaxation, computed with PBE.

## Properties
- ΔH_f (0 K): -321 meV/atom
- N(E_F): 1.050 states/eV/atom

Cell: 3.7352 3.7352 7.9538 Å, 90.00 90.00 90.00°
Last column: magnetic moment on the atom in μB.
Atoms (fractional coordinates):
Sm 0.0000 0.0000 0.3727  -0.05
Ag 0.5000 0.5000 0.5995  0.00
Tl 0.5000 0.5000 0.1119  0.00
Nd 0.0000 0.0000 0.8439  0.09


8.
NdSmTlAg after structural relaxation, computed with PBE.

## Properties
- ΔH_f (0 K): -322 meV/atom
- N(E_F): 0.971 states/eV/atom

Cell: 5.4009 5.4009 5.4009 Å, 60.00 60.00 60.00°
Last column: magnetic moment on the atom in μB.
Atoms (fractional coordinates):
Ag 0.2500 0.2500 0.2500  0.01
Sm 0.0000 0.0000 0.0000  0.12
Nd 0.5000 0.5000 0.5000  0.12
Tl 0.7500 0.7500 0.7500  0.00


9.
NdSmZnAg after structural relaxation, computed with PBE.

## Properties
- ΔH_f (0 K): -298 meV/atom
- N(E_F): 0.933 states/eV/atom

Cell: 3.7180 3.7180 7.3043 Å, 90.00 90.00 90.00°
Atoms (fractional coordinates):
Sm 0.0000 0.0000 0.3644
Zn 0.5000 0.5000 0.6013
Nd 0.0000 0.0000 0.8482
Ag 0.5000 0.5000 0.1141


10.
Nd2SmZn2Ag2 after structural relaxation, computed with PBE.

## Properties
- ΔH_f (0 K): -224 meV/atom
- N(E_F): 0.924 states/eV/atom

Cell: 4.6846 4.6846 9.5255 Å, 75.77 75.77 60.00°
Atoms (fractional coordinates):
Sm 0.0000 0.0000 0.0000
Nd 0.1235 0.1235 0.6294
Nd 0.8765 0.8765 0.3706
Ag 0.3961 0.3961 0.8118
Ag 0.6039 0.6039 0.1882
Zn 0.7354 0.7354 0.7938
Zn 0.2646 0.2646 0.2062


11.
NdSmZnAg after structural relaxation, computed with PBE.

## Properties
- ΔH_f (0 K): -281 meV/atom
- N(E_F): 0.903 states/eV/atom

Cell: 5.2402 5.2402 5.2402 Å, 60.00 60.00 60.00°
Atoms (fractional coordinates):
Zn 0.7500 0.7500 0.7500
Sm 0.0000 0.0000 0.0000
Nd 0.5000 0.5000 0.5000
Ag 0.2500 0.2500 0.2500


12.
Nd6Ag5Sn after structural relaxation, computed with PBE.

## Properties
- ΔH_f (0 K): -336 meV/atom
- N(E_F): 0.986 states/eV/atom

Cell: 5.3134 7.6236 8.4216 Å, 90.00 108.47 90.00°
Last column: magnetic moment on the atom in μB.
Atoms (fractional coordinates):
Nd 0.8334 0.7483 0.6631  0.10
Nd 0.8334 0.2517 0.6631  0.10
Nd 0.1666 0.7483 0.3369  0.10
Nd 0.1666 0.2517 0.3369  0.10
Nd 0.5000 0.2546 0.0000  0.11
Nd 0.5000 0.7454 0.0000  0.11
Ag 0.3373 0.0000 0.6681  0.01
Ag 0.6635 0.5000 0.3333  0.01
Ag 0.0000 0.5000 0.0000  0.01
Ag 0.3365 0.5000 0.6667  0.01
Ag 0.6627 0.0000 0.3319  0.01
Sn 0.0000 0.0000 0.0000  -0.01


13.
Nd8Ag3Sn2 after structural relaxation, computed with PBE.

## Properties
- ΔH_f (0 K): -228 meV/atom
- N(E_F): 1.479 states/eV/atom

Cell: 5.2076 10.3508 9.3084 Å, 123.78 90.00 90.00°
Atoms (fractional coordinates):
Nd 0.5000 0.3759 0.2439
Nd 0.0001 0.3805 0.7611
Nd 0.5000 0.6241 0.7561
Nd 0.5000 0.8680 0.2439
Nd 0.0001 0.1255 0.2510
Nd 0.9999 0.6195 0.2389
Nd 0.9999 0.8745 0.7490
Nd 0.5000 0.1320 0.7561
Ag 0.0000 0.7519 0.0000
Ag 0.0000 0.2481 0.0000
Ag 0.5000 0.0000 0.0000
Sn 0.4999 0.7492 0.4983
Sn 0.5001 0.2508 0.5017


14.
Nd2Ag9Sn after structural relaxation, computed with PBE.

## Properties
- ΔH_f (0 K): -82 meV/atom
- N(E_F): 0.505 states/eV/atom

Cell: 5.7245 5.7245 9.7911 Å, 73.00 73.00 60.00°
Atoms (fractional coordinates):
Nd 0.1367 0.1367 0.5900
Nd 0.8633 0.8633 0.4100
Sn 0.0000 0.0000 0.0000
Ag 0.3336 0.3336 0.9992
Ag 0.4135 0.4135 0.2525
Ag 0.5000 0.5000 0.5000
Ag 0.0795 0.5865 0.7475
Ag 0.6664 0.6664 0.0008
Ag 0.4135 0.9205 0.2525
Ag 0.5865 0.0795 0.7475
Ag 0.5865 0.5865 0.7475
Ag 0.9205 0.4135 0.2525


15.
Nd3Ag4Sn4 after structural relaxation, computed with PBE.

## Properties
- ΔH_f (0 K): -549 meV/atom
- N(E_F): 0.230 states/eV/atom

Cell: 8.9545 8.9545 8.9545 Å, 149.66 131.00 58.73°
Atoms (fractional coordinates):
Sn 0.8054 0.5000 0.3054
Sn 0.2846 0.7846 0.5000
Sn 0.7154 0.2154 0.5000
Sn 0.1946 0.5000 0.6946
Nd 0.8708 0.8708 0.0000
Nd 0.1292 0.1292 0.0000
Nd 0.5000 0.0000 0.5000
Ag 0.4750 0.6701 0.8049
Ag 0.1348 0.3299 0.8049
Ag 0.8652 0.6701 0.1951
Ag 0.5250 0.3299 0.1951


16.
NdAg2Sn after structural relaxation, computed with PBE.

## Properties
- ΔH_f (0 K): -283 meV/atom
- N(E_F): 0.642 states/eV/atom

Cell: 4.5849 4.5707 4.5707 Å, 90.00 90.00 90.00°
Atoms (fractional coordinates):
Ag 0.0000 0.0000 0.5000
Ag 0.0000 0.5000 0.0000
Sn 0.5000 0.0000 0.0000
Nd 0.5000 0.5000 0.5000


17.
NdAg8Sn3 after structural relaxation, computed with PBE.

## Properties
- ΔH_f (0 K): -74 meV/atom
- N(E_F): 0.301 states/eV/atom

Cell: 5.7046 5.7046 9.1015 Å, 90.00 90.00 120.00°
Atoms (fractional coordinates):
Sn 0.6667 0.3333 0.0469
Sn 0.6667 0.3333 0.4300
Sn 0.0000 0.0000 0.9500
Ag 0.3333 0.6667 0.4999
Ag 0.5027 0.0054 0.7532
Ag 0.1635 0.3271 0.2474
Ag 0.3333 0.6667 0.0015
Ag 0.5027 0.4973 0.7532
Ag 0.1635 0.8365 0.2474
Ag 0.6729 0.8365 0.2474
Ag 0.9946 0.4973 0.7532
Nd 0.0000 0.0000 0.5698


18.
Nd4AgSn8 after structural relaxation, computed with PBE.

## Properties
- ΔH_f (0 K): -573 meV/atom
- N(E_F): 0.417 states/eV/atom

Cell: 4.4436 4.5182 17.8893 Å, 90.00 90.00 90.00°
Atoms (fractional coordinates):
Nd 0.5000 0.0000 0.8935
Nd 0.5000 0.5000 0.4002
Nd 0.0000 0.0000 0.0868
Nd 0.0000 0.5000 0.6110
Sn 0.0000 0.0000 0.4729
Sn 0.0000 0.5000 0.2284
Sn 0.5000 0.5000 0.7554
Sn 0.5000 0.5000 0.0423
Sn 0.0000 0.5000 0.9297
Sn 0.5000 0.0000 0.2265
Sn 0.0000 0.0000 0.7505
Sn 0.5000 0.0000 0.5813
Ag 0.0000 0.0000 0.3246


19.
NdAg4Sn2 after structural relaxation, computed with PBE.

## Properties
- ΔH_f (0 K): -244 meV/atom
- N(E_F): 0.452 states/eV/atom

Cell: 4.6140 8.2440 8.2440 Å, 90.00 90.00 90.00°
Atoms (fractional coordinates):
Nd 0.5000 0.0000 0.0000
Nd 0.0000 0.5000 0.5000
Sn 0.0000 0.7872 0.2128
Sn 0.0000 0.2128 0.7872
Sn 0.5000 0.2872 0.2872
Sn 0.5000 0.7128 0.7128
Ag 0.0000 0.6464 0.9010
Ag 0.5000 0.4010 0.8536
Ag 0.5000 0.5990 0.1464
Ag 0.0000 0.9010 0.6464
Ag 0.5000 0.8536 0.4010
Ag 0.0000 0.3536 0.0990
Ag 0.0000 0.0990 0.3536
Ag 0.5000 0.1464 0.5990


20.
NdAg4Sn after structural relaxation, computed with PBE.

## Properties
- ΔH_f (0 K): -188 meV/atom
- N(E_F): 0.811 states/eV/atom

Cell: 5.6812 5.6812 5.6812 Å, 60.00 60.00 60.00°
Atoms (fractional coordinates):
Sn 0.0000 0.0000 0.0000
Ag 0.1255 0.6248 0.6248
Ag 0.6248 0.6248 0.1255
Ag 0.6248 0.1255 0.6248
Ag 0.6248 0.6248 0.6248
Nd 0.2500 0.2500 0.2500


21.
Nd2AgSn after structural relaxation, computed with PBE.

## Properties
- ΔH_f (0 K): -507 meV/atom
- N(E_F): 0.986 states/eV/atom

Cell: 4.6949 6.4014 8.2251 Å, 110.24 90.00 90.00°
Atoms (fractional coordinates):
Sn 0.7500 0.6689 0.2916
Sn 0.2500 0.3311 0.7084
Ag 0.2500 0.3548 0.2109
Ag 0.7500 0.6452 0.7891
Nd 0.7500 0.2058 0.9351
Nd 0.2500 0.7942 0.0649
Nd 0.2500 0.7898 0.5854
Nd 0.7500 0.2102 0.4146


22.
Nd5Ag2Sn after structural relaxation, computed with PBE.

## Properties
- ΔH_f (0 K): -327 meV/atom
- N(E_F): 1.335 states/eV/atom

Cell: 8.3734 8.3734 9.0072 Å, 117.70 117.70 90.00°
Atoms (fractional coordinates):
Nd 0.8055 0.9922 0.2977
Nd 0.4922 0.3055 0.2977
Nd 0.9922 0.4922 0.2977
Nd 0.0000 0.0000 0.0000
Nd 0.1945 0.0078 0.7023
Nd 0.0078 0.5078 0.7023
Nd 0.5078 0.6945 0.7023
Nd 0.6945 0.1945 0.7023
Nd 0.3055 0.8055 0.2977
Nd 0.5000 0.5000 0.0000
Ag 0.1310 0.3690 0.0000
Ag 0.8690 0.6310 0.0000
Ag 0.3690 0.8690 0.0000
Ag 0.6310 0.1310 0.0000
Sn 0.7500 0.7500 0.5000
Sn 0.2500 0.2500 0.5000


23.
NdAg9Sn2 after structural relaxation, computed with PBE.

## Properties
- ΔH_f (0 K): -47 meV/atom
- N(E_F): 0.479 states/eV/atom

Cell: 5.6470 5.6470 9.7148 Å, 73.10 73.10 60.00°
Atoms (fractional coordinates):
Ag 0.5000 0.5000 0.5000
Ag 0.4132 0.4132 0.2542
Ag 0.0806 0.5868 0.7458
Ag 0.5868 0.5868 0.7458
Ag 0.9194 0.4132 0.2542
Ag 0.4132 0.9194 0.2542
Ag 0.6659 0.6659 0.0022
Ag 0.3341 0.3341 0.9978
Ag 0.5868 0.0806 0.7458
Sn 0.8556 0.8556 0.4331
Sn 0.1444 0.1444 0.5669
Nd 0.0000 0.0000 0.0000


Number 1: calculated density 7.33 Mg/m³. Number 2: calculated density 7.79 Mg/m³. Number 3: calculated density 7.85 Mg/m³. Number 4: calculated density 8.02 Mg/m³. Number 5: calculated density 7.00 Mg/m³. Number 6: calculated density 9.09 Mg/m³. Number 7: calculated density 9.08 Mg/m³. Number 8: calculated density 9.05 Mg/m³. Number 9: calculated density 7.69 Mg/m³. Number 10: calculated density 7.51 Mg/m³. Number 11: calculated density 7.64 Mg/m³. Number 12: calculated density 7.82 Mg/m³. Number 13: calculated density 6.83 Mg/m³. Number 14: calculated density 8.75 Mg/m³. Number 15: calculated density 8.19 Mg/m³. Number 16: calculated density 8.30 Mg/m³. Number 17: calculated density 8.83 Mg/m³. Number 18: calculated density 7.56 Mg/m³. Number 19: calculated density 8.61 Mg/m³. Number 20: calculated density 8.89 Mg/m³. Number 21: calculated density 7.38 Mg/m³. Number 22: calculated density 7.37 Mg/m³. Number 23: calculated density 8.89 Mg/m³.